Material: La2PmDy2Er
Method: DFT, PBE-GGA
State: relaxed

a b c (Å): 5.7258 7.0784 9.9652
angles (deg): 90.00 90.00 90.00
Last column: nearest neighbours and their distance in Å.
Fractional positions:
1 Dy 0.0000 0.2572 0.8327  2 Er 3.33, 3 La 3.37-3.54
2 Dy 0.5000 0.7580 0.6655  3 Er 3.27-3.54, 2 La 3.30
3 Er 0.5000 0.2577 0.6625  5 Dy 3.27-3.54
4 Er 0.5000 0.7577 0.3375  5 Dy 3.27-3.54
5 Dy 0.0000 0.7572 0.1673  2 Er 3.33, 3 La 3.37-3.54
6 La 0.5000 0.0074 0.0005  6 La 3.54-3.77, 6 Dy 3.75-3.78, 2 Er 3.80-3.81
7 Pm 0.0000 0.5076 0.5003  2 Pm 3.54, 2 La 3.73, 4 Er 3.73-3.74, 6 Dy 3.75-3.76
8 La 0.0000 0.2576 0.1705  5 Dy 3.30-3.54
9 Dy 0.5000 0.2580 0.3345  3 Er 3.27-3.54, 2 La 3.30
10 La 0.0000 0.7576 0.8295  5 Dy 3.30-3.54
11 Pm 0.0000 0.0076 0.4997  2 Pm 3.54, 2 La 3.73, 4 Er 3.73-3.74, 6 Dy 3.75-3.76
12 La 0.5000 0.5074 0.9995  6 La 3.54-3.77, 6 Dy 3.75-3.78, 2 Er 3.80-3.81

## Properties
Crystal system   orthorhombic
DFT total energy   -4.66 eV per atom
ΔH_f (0 K)   0.07 eV per atom
Symmetry   Pmc2_1, No. 26

Material: LaPm4Dy2Er
Method: DFT, PBE-GGA
State: relaxed

a b c (Å): 3.6324 11.9965 6.2430
angles (deg): 79.85 90.00 90.00
Last column: nearest neighbours and their distance in Å.
Fractional positions:
1 Dy 0.0000 0.0000 0.0000  6 Pm 3.58-3.60, 6 Dy 3.61-3.63
2 Er 0.0000 0.5000 0.5000  4 La 3.61, 6 Pm 3.63-3.65, 2 Er 3.63
3 Pm 0.5000 0.2486 0.7503  3 Dy 3.60, 6 Pm 3.61-3.63, 2 Er 3.63, 1 La 3.63
4 Dy 0.5000 0.0000 0.5000  6 Pm 3.58-3.60, 6 Dy 3.61-3.63
5 La 0.5000 0.5000 0.0000  4 Er 3.61, 6 Pm 3.63-3.66, 2 La 3.63
6 Pm 0.0000 0.2460 0.2519  3 Dy 3.58, 6 Pm 3.61-3.63, 1 Er 3.65, 2 La 3.66
7 Pm 0.0000 0.7540 0.7481  3 Dy 3.58, 6 Pm 3.61-3.63, 1 Er 3.65, 2 La 3.66
8 Pm 0.5000 0.7514 0.2497  3 Dy 3.60, 6 Pm 3.61-3.63, 2 Er 3.63, 1 La 3.63

## Properties
Crystal system   monoclinic
DFT total energy   -4.69 eV per atom
ΔH_f (0 K)   0.02 eV per atom
Symmetry   P2/m, No. 10

Material: La2Pm6Dy3Er
Method: DFT, PBE-GGA
State: relaxed

a b c (Å): 6.2918 6.2918 12.0239
angles (deg): 95.02 95.02 120.01
Last column: nearest neighbours and their distance in Å.
Fractional positions:
1 Pm 0.7530 0.7530 0.2544  3 Dy 3.58-3.59, 6 Pm 3.61-3.64, 1 Er 3.67, 2 La 3.67
2 Dy 0.5000 0.5000 0.5000  6 Pm 3.58-3.59, 6 Dy 3.63-3.64
3 Pm 0.5838 0.9153 0.7459  3 Dy 3.58-3.60, 6 Pm 3.61-3.64, 1 Er 3.66, 2 La 3.67
4 Pm 0.4162 0.0847 0.2541  3 Dy 3.58-3.60, 6 Pm 3.61-3.64, 1 Er 3.66, 2 La 3.67
5 Pm 0.9153 0.5838 0.7459  3 Dy 3.58-3.60, 6 Pm 3.61-3.64, 1 Er 3.66, 2 La 3.67
6 Er 0.0000 0.0000 0.0000  6 La 3.63, 6 Pm 3.66-3.67
7 Pm 0.0847 0.4162 0.2541  3 Dy 3.58-3.60, 6 Pm 3.61-3.64, 1 Er 3.66, 2 La 3.67
8 La 0.3333 0.6667 0.0000  3 La 3.63, 3 Er 3.63, 6 Pm 3.67
9 Dy 0.8338 0.1662 0.5000  6 Pm 3.58-3.60, 6 Dy 3.62-3.64
10 La 0.6667 0.3333 0.0000  3 La 3.63, 3 Er 3.63, 6 Pm 3.67
11 Pm 0.2470 0.2470 0.7456  3 Dy 3.58-3.59, 6 Pm 3.61-3.64, 1 Er 3.67, 2 La 3.67
12 Dy 0.1662 0.8338 0.5000  6 Pm 3.58-3.60, 6 Dy 3.62-3.64

## Properties
Crystal system   monoclinic
DFT total energy   -4.71 eV per atom
ΔH_f (0 K)   0.02 eV per atom
Symmetry   C2/m, No. 12

What did the second record say?
Material: LaPm4Dy2Er
Method: DFT, PBE-GGA
State: relaxed

a b c (Å): 3.6324 11.9965 6.2430
angles (deg): 79.85 90.00 90.00
Last column: nearest neighbours and their distance in Å.
Fractional positions:
1 Dy 0.0000 0.0000 0.0000  6 Pm 3.58-3.60, 6 Dy 3.61-3.63
2 Er 0.0000 0.5000 0.5000  4 La 3.61, 6 Pm 3.63-3.65, 2 Er 3.63
3 Pm 0.5000 0.2486 0.7503  3 Dy 3.60, 6 Pm 3.61-3.63, 2 Er 3.63, 1 La 3.63
4 Dy 0.5000 0.0000 0.5000  6 Pm 3.58-3.60, 6 Dy 3.61-3.63
5 La 0.5000 0.5000 0.0000  4 Er 3.61, 6 Pm 3.63-3.66, 2 La 3.63
6 Pm 0.0000 0.2460 0.2519  3 Dy 3.58, 6 Pm 3.61-3.63, 1 Er 3.65, 2 La 3.66
7 Pm 0.0000 0.7540 0.7481  3 Dy 3.58, 6 Pm 3.61-3.63, 1 Er 3.65, 2 La 3.66
8 Pm 0.5000 0.7514 0.2497  3 Dy 3.60, 6 Pm 3.61-3.63, 2 Er 3.63, 1 La 3.63

## Properties
Crystal system   monoclinic
DFT total energy   -4.69 eV per atom
ΔH_f (0 K)   0.02 eV per atom
Symmetry   P2/m, No. 10

Please write out number 3 again, unchanged.
Material: La2Pm6Dy3Er
Method: DFT, PBE-GGA
State: relaxed

a b c (Å): 6.2918 6.2918 12.0239
angles (deg): 95.02 95.02 120.01
Last column: nearest neighbours and their distance in Å.
Fractional positions:
1 Pm 0.7530 0.7530 0.2544  3 Dy 3.58-3.59, 6 Pm 3.61-3.64, 1 Er 3.67, 2 La 3.67
2 Dy 0.5000 0.5000 0.5000  6 Pm 3.58-3.59, 6 Dy 3.63-3.64
3 Pm 0.5838 0.9153 0.7459  3 Dy 3.58-3.60, 6 Pm 3.61-3.64, 1 Er 3.66, 2 La 3.67
4 Pm 0.4162 0.0847 0.2541  3 Dy 3.58-3.60, 6 Pm 3.61-3.64, 1 Er 3.66, 2 La 3.67
5 Pm 0.9153 0.5838 0.7459  3 Dy 3.58-3.60, 6 Pm 3.61-3.64, 1 Er 3.66, 2 La 3.67
6 Er 0.0000 0.0000 0.0000  6 La 3.63, 6 Pm 3.66-3.67
7 Pm 0.0847 0.4162 0.2541  3 Dy 3.58-3.60, 6 Pm 3.61-3.64, 1 Er 3.66, 2 La 3.67
8 La 0.3333 0.6667 0.0000  3 La 3.63, 3 Er 3.63, 6 Pm 3.67
9 Dy 0.8338 0.1662 0.5000  6 Pm 3.58-3.60, 6 Dy 3.62-3.64
10 La 0.6667 0.3333 0.0000  3 La 3.63, 3 Er 3.63, 6 Pm 3.67
11 Pm 0.2470 0.2470 0.7456  3 Dy 3.58-3.59, 6 Pm 3.61-3.64, 1 Er 3.67, 2 La 3.67
12 Dy 0.1662 0.8338 0.5000  6 Pm 3.58-3.60, 6 Dy 3.62-3.64

## Properties
Crystal system   monoclinic
DFT total energy   -4.71 eV per atom
ΔH_f (0 K)   0.02 eV per atom
Symmetry   C2/m, No. 12